(1)
First-principles (PBE-GGA) data for an optimized crystal structure of Zr2TeAu, as listed in the Alexandria database.

Values from the calculation:
**Total moment**: 0.00 μB/cell
**Polymorph energy (0 for the lowest one)**: 0.0000 eV/atom
**Calculated density**: 9817 kg/m3
**DOS(E_F)**: 2.90 states/eV per cell

Cell lengths 5.019, 5.019, 3.461 Å; angles 90.02, 90.02, 100.40 degrees
Fractional coordinates of all 4 atoms:
Au  0.500  0.000  0.500
Zr  0.000  0.000  0.000
Zr  0.500  0.500  0.000
Te  0.000  0.500  0.500

***

(2)
First-principles (PBE-GGA) data for an optimized crystal structure of RePt3S, as listed in the Alexandria database.

Values from the calculation:
**Total moment**: 0.00 μB/cell
**Polymorph energy (0 for the lowest one)**: 0.5584 eV/atom
**Calculated density**: 11900 kg/m3
**DOS(E_F)**: 5.91 states/eV per cell

Cell lengths 4.822, 4.822, 4.822 Å; angles 90.00, 90.00, 90.00 degrees
Fractional coordinates of all 5 atoms:
Pt  0.000  0.000  0.500
Pt  0.500  0.000  0.000
Pt  0.000  0.500  0.000
Re  0.000  0.000  0.000
S  0.500  0.500  0.500

***

(3)
First-principles (PBE-GGA) data for an optimized crystal structure of LiTi2AgO, as listed in the Alexandria database.

Values from the calculation:
**Total moment**: 0.00 μB/cell
**DFT total energy**: -6.110 eV per atom
**Calculated density**: 5469 kg/m3
**DOS(E_F)**: 5.17 states/eV per cell

Cell lengths 4.095, 4.095, 4.102 Å; angles 90.00, 90.00, 90.00 degrees
Fractional coordinates of all 5 atoms:
O  0.000  0.000  0.000
Ti  0.500  0.000  0.000
Ti  0.000  0.500  0.000
Li  0.000  0.000  0.500
Ag  0.500  0.500  0.500

***

(4)
First-principles (PBE-GGA) data for an optimized crystal structure of Al2SiNi, as listed in the Alexandria database.

Values from the calculation:
**Total moment**: 0.00 μB/cell
**Polymorph energy (0 for the lowest one)**: 0.1622 eV/atom
**Calculated density**: 4089 kg/m3
**DOS(E_F)**: 1.84 states/eV per cell

Cell lengths 4.167, 4.167, 7.600 Å; angles 90.00, 90.00, 120.00 degrees
Fractional coordinates of all 8 atoms:
Ni  0.667  0.333  0.250
Ni  0.333  0.667  0.750
Al  0.333  0.667  0.423
Al  0.667  0.333  0.923
Al  0.333  0.667  0.077
Al  0.667  0.333  0.577
Si  0.000  0.000  0.250
Si  0.000  0.000  0.750

***

(5)
First-principles (PBE-GGA) data for an optimized crystal structure of CaSnPb2, as listed in the Alexandria database.

Values from the calculation:
**Total moment**: 0.00 μB/cell
**Energy of formation from the pure elements**: -0.232 eV per atom
**Calculated density**: 7873 kg/m3
**DOS(E_F)**: 2.72 states/eV per cell

Cell lengths 4.215, 4.215, 6.804 Å; angles 90.00, 90.00, 90.00 degrees
Fractional coordinates of all 4 atoms:
Ca  0.500  0.500  0.500
Pb  0.000  0.000  0.768
Pb  0.000  0.000  0.232
Sn  0.500  0.500  0.000

***

(6)
First-principles (PBE-GGA) data for an optimized crystal structure of Ag3HgI6, as listed in the Alexandria database.

Values from the calculation:
**Total moment**: 0.00 μB/cell
**DFT total energy**: -1.981 eV per atom
**Calculated density**: 5957 kg/m3
**DOS(E_F)**: 4.89 states/eV per cell

Cell lengths 7.577, 7.577, 8.433 Å; angles 63.30, 63.30, 60.00 degrees
Fractional coordinates of all 10 atoms:
I  0.401  0.763  0.800
I  0.900  0.532  0.300
I  0.037  0.401  0.800
I  0.763  0.037  0.800
I  0.532  0.267  0.300
I  0.267  0.900  0.300
Ag  0.400  0.400  0.799
Ag  0.145  0.145  0.566
Ag  0.655  0.655  0.035
Hg  0.899  0.899  0.302

***

(7)
First-principles (PBE-GGA) data for an optimized crystal structure of TiAlHg2P, as listed in the Alexandria database.

Values from the calculation:
**Total moment**: 0.09 μB/cell
**Energy of formation from the pure elements**: 0.699 eV per atom
**Calculated density**: 7192 kg/m3
**DOS(E_F)**: 6.77 states/eV per cell

Cell lengths 5.045, 4.600, 5.045 Å; angles 90.00, 90.00, 90.00 degrees
Each line ends with the local moment (μB).
Fractional coordinates of all 5 atoms:
Hg  0.500  0.000  0.000  0.00
Hg  0.000  0.000  0.500  -0.01
Al  0.000  0.000  0.000  -0.01
Ti  0.500  0.500  0.500  0.13
P  0.000  0.500  0.000  -0.02

***

(8)
First-principles (PBE-GGA) data for an optimized crystal structure of CuSbRh2, as listed in the Alexandria database.

Values from the calculation:
**Total moment**: 0.00 μB/cell
**Polymorph energy (0 for the lowest one)**: 0.2151 eV/atom
**Calculated density**: 10597 kg/m3
**DOS(E_F)**: 4.95 states/eV per cell

Cell lengths 4.883, 4.883, 4.883 Å; angles 132.93, 132.92, 68.77 degrees
Fractional coordinates of all 4 atoms:
Rh  0.750  0.250  0.500
Rh  0.000  0.000  0.000
Cu  0.250  0.750  0.500
Sb  0.500  0.500  0.000

***

(9)
First-principles (PBE-GGA) data for an optimized crystal structure of Zr3ReAg, as listed in the Alexandria database.

Values from the calculation:
**Total moment**: 0.00 μB/cell
**Energy of formation from the pure elements**: 1.558 eV per atom
**Polymorph energy (0 for the lowest one)**: 0.9463 eV/atom
**Calculated density**: 7537 kg/m3
**DOS(E_F)**: 8.60 states/eV per cell

Cell lengths 5.001, 5.001, 5.001 Å; angles 90.00, 90.00, 90.00 degrees
Fractional coordinates of all 5 atoms:
Ag  0.000  0.000  0.000
Zr  0.000  0.000  0.500
Zr  0.000  0.500  0.000
Zr  0.500  0.000  0.000
Re  0.500  0.500  0.500

***

(10)
First-principles (PBE-GGA) data for an optimized crystal structure of Er4CdIn2Hg, as listed in the Alexandria database.

Values from the calculation:
**Total moment**: 0.00 μB/cell
**Energy of formation from the pure elements**: -0.422 eV per atom
**Calculated density**: 9789 kg/m3
**DOS(E_F)**: 8.03 states/eV per cell

Cell lengths 5.257, 5.257, 9.109 Å; angles 73.23, 73.23, 60.00 degrees
Fractional coordinates of all 8 atoms:
Er  0.126  0.126  0.621
Er  0.624  0.624  0.129
Er  0.376  0.376  0.871
Er  0.874  0.874  0.379
In  0.252  0.252  0.244
In  0.748  0.748  0.756
Hg  0.500  0.500  0.500
Cd  0.000  0.000  0.000

***

(11)
First-principles (PBE-GGA) data for an optimized crystal structure of LiIrRu, as listed in the Alexandria database.

Values from the calculation:
**Total moment**: 0.00 μB/cell
**Energy of formation from the pure elements**: 0.020 eV per atom
**Polymorph energy (0 for the lowest one)**: 0.0377 eV/atom
**Calculated density**: 12482 kg/m3
**DOS(E_F)**: 4.02 states/eV per cell

Cell lengths 4.399, 4.498, 4.498 Å; angles 116.13, 90.00, 90.00 degrees
Fractional coordinates of all 6 atoms:
Li  0.250  0.914  0.769
Li  0.750  0.231  0.086
Ru  0.250  0.242  0.433
Ru  0.750  0.567  0.758
Ir  0.250  0.573  0.099
Ir  0.750  0.901  0.427

***

(12)
First-principles (PBE-GGA) data for an optimized crystal structure of Tb11Ga9Pd4, as listed in the Alexandria database.

Values from the calculation:
**Total moment**: 0.00 μB/cell
**Energy of formation from the pure elements**: -0.703 eV per atom
**Calculated density**: 8644 kg/m3
**DOS(E_F)**: 14.78 states/eV per cell

Cell lengths 3.661, 12.629, 12.629 Å; angles 112.84, 90.00, 90.00 degrees
Fractional coordinates of all 24 atoms:
Ga  0.500  0.786  0.929
Ga  0.500  0.632  0.163
Ga  0.500  0.500  0.500
Ga  0.500  0.929  0.786
Ga  0.500  0.071  0.214
Ga  0.500  0.837  0.368
Ga  0.500  0.163  0.632
Ga  0.500  0.214  0.071
Ga  0.500  0.368  0.837
Pd  0.500  0.446  0.244
Pd  0.500  0.756  0.554
Pd  0.500  0.554  0.756
Pd  0.500  0.244  0.446
Tb  0.000  0.936  0.590
Tb  0.000  0.166  0.834
Tb  0.000  0.300  0.300
Tb  0.000  0.590  0.936
Tb  0.000  0.369  0.631
Tb  0.000  0.700  0.700
Tb  0.000  0.834  0.166
Tb  0.000  0.410  0.064
Tb  0.000  0.000  0.000
Tb  0.000  0.631  0.369
Tb  0.000  0.064  0.410